Record 1
Below is a geometry-optimized AgSbO3 structure, with properties calculated at the GGA-PBE level.

Values from the calculation:
Calculated volume in Å³ per cell: 137.4
E_tot in eV per cell: -53.67
Crystal system: trigonal

Structure (extended XYZ):
```
10
Lattice="-2.703 4.681 0.000 2.703 4.681 0.000 0.000 3.121 -5.430" Properties=species:S:1:pos:R:3 pbc="T T T"
Ag 0.000 6.242 -0.515
Ag 0.000 6.242 -4.915
O -1.077 8.043 -1.580
O 2.099 6.274 -1.580
O -1.022 4.408 -1.580
O 1.022 8.076 -3.851
O -2.099 6.210 -3.851
O 1.077 4.440 -3.851
Sb 0.000 9.363 -2.650
Sb 0.000 3.121 -2.781
```

=====

Record 2
Below is a geometry-optimized AgSbO3 structure, with properties calculated at the GGA-PBE level.

Values from the calculation:
Calculated volume in Å³ per cell: 120.4
E_tot in eV per cell: -52.58
Crystal system: trigonal

Structure (extended XYZ):
```
10
Lattice="2.775 -1.602 -4.515 -2.775 -1.602 -4.515 0.000 3.204 -4.515" Properties=species:S:1:pos:R:3 pbc="T T T"
Ag 0.000 0.000 -3.386
Ag 0.000 0.000 -10.159
O 1.145 -1.221 -5.644
O -0.485 -1.602 -7.902
O -1.630 -0.381 -5.644
O 1.630 0.381 -7.902
O 0.485 1.602 -5.644
O -1.145 1.221 -7.902
Sb 0.000 0.000 0.000
Sb 0.000 0.000 -6.773
```